No. 1
# Pr4Ho2ErSc (PBE-GGA, relaxed)
# E_tot, eV/cell: -38.94
data_Pr4Ho2ErSc
_symmetry_space_group_name_H-M 'P 4/m m m'
_symmetry_Int_Tables_number 123
_symmetry_space_group_name_Hall '-P 4 2'
_cell_length_a 5.1365
_cell_length_b 5.1365
_cell_length_c 9.8616
_cell_angle_alpha 90.00
_cell_angle_beta 90.00
_cell_angle_gamma 90.00
loop_
_atom_site_label
_atom_site_type_symbol
_atom_site_fract_x
_atom_site_fract_y
_atom_site_fract_z
Pr1 Pr 0.0000 0.5000 0.2452
Ho1 Ho 0.0000 0.0000 0.0000
Ho2 Ho 0.5000 0.5000 0.5000
Er1 Er 0.0000 0.0000 0.5000
Sc1 Sc 0.5000 0.5000 0.0000

No. 2
# PrHo6Er2Sc3 (PBE-GGA, relaxed)
# E_tot, eV/cell: -119.64
data_PrHo6Er2Sc3
_symmetry_space_group_name_H-M 'C 1 2/m 1'
_symmetry_Int_Tables_number 12
_cell_length_a 6.0336
_cell_length_b 10.4443
_cell_length_c 11.4593
_cell_angle_alpha 90.00
_cell_angle_beta 100.09
_cell_angle_gamma 90.00
loop_
_symmetry_equiv_pos_as_xyz
'x,y,z'
'-x,-y,-z'
'-x,y,-z'
'x,-y,z'
'x+1/2,y+1/2,z'
'-x+1/2,-y+1/2,-z'
'-x+1/2,y+1/2,-z'
'x+1/2,-y+1/2,z'
loop_
_atom_site_label
_atom_site_type_symbol
_atom_site_fract_x
_atom_site_fract_y
_atom_site_fract_z
Pr1 Pr 0.0000 0.0000 0.0000
Ho1 Ho 0.2460 0.3330 0.7400
Ho2 Ho 0.2471 0.0000 0.7400
Er1 Er 0.0000 0.3334 0.0000
Sc1 Sc 0.0000 0.1669 0.5000
Sc2 Sc 0.0000 0.5000 0.5000

No. 3
# Pr3Ho3ErSe8 (PBE-GGA, relaxed)
# Formation energy (no corrections), eV per atom: -1.845
# E_tot, eV/cell: -264.56
data_Pr3Ho3ErSe8
_symmetry_space_group_name_H-M 'R -3 m'
_symmetry_Int_Tables_number 166
_symmetry_space_group_name_Hall '-R 3 2"'
_cell_length_a 8.2278
_cell_length_b 8.2278
_cell_length_c 20.5803
_cell_angle_alpha 90.00
_cell_angle_beta 90.00
_cell_angle_gamma 120.00
loop_
_atom_site_label
_atom_site_type_symbol
_atom_site_fract_x
_atom_site_fract_y
_atom_site_fract_z
Pr1 Pr 0.0000 0.5000 0.0000
Ho1 Ho 0.0000 0.5000 0.5000
Er1 Er 0.0000 0.0000 0.5000
Se1 Se 0.0000 0.0000 0.2440
Se2 Se 0.0047 0.5024 0.7548

No. 4
# Pr2Ho3ErSe6 (PBE-GGA, relaxed)
# Formation energy (no corrections), eV per atom: -1.757
# E_tot, eV/cell: -139.70
data_Pr2Ho3ErSe6
_symmetry_space_group_name_H-M 'C 1 2/m 1'
_symmetry_Int_Tables_number 12
_cell_length_a 18.0226
_cell_length_b 4.0878
_cell_length_c 8.3314
_cell_angle_alpha 90.00
_cell_angle_beta 103.99
_cell_angle_gamma 90.00
loop_
_symmetry_equiv_pos_as_xyz
'x,y,z'
'-x,-y,-z'
'-x,y,-z'
'x,-y,z'
'x+1/2,y+1/2,z'
'-x+1/2,-y+1/2,-z'
'-x+1/2,y+1/2,-z'
'x+1/2,-y+1/2,z'
loop_
_atom_site_label
_atom_site_type_symbol
_atom_site_fract_x
_atom_site_fract_y
_atom_site_fract_z
Pr1 Pr 0.1691 0.0000 0.3372
Ho1 Ho 0.0000 0.5000 0.5000
Ho2 Ho 0.1716 0.0000 0.8346
Er1 Er 0.0000 0.5000 0.0000
Se1 Se 0.0051 0.0000 0.7543
Se2 Se 0.1611 0.5000 0.5942
Se3 Se 0.1638 0.5000 0.0697

No. 5
# Pr2HoErSe5 (PBE-GGA, relaxed)
# Formation energy (no corrections), eV per atom: -1.304
# E_tot, eV/cell: -47.86
data_Pr2HoErSe5
_symmetry_space_group_name_H-M 'P 4/m m m'
_symmetry_Int_Tables_number 123
_symmetry_space_group_name_Hall '-P 4 2'
_cell_length_a 5.0876
_cell_length_b 5.0876
_cell_length_c 10.7048
_cell_angle_alpha 90.00
_cell_angle_beta 90.00
_cell_angle_gamma 90.00
loop_
_atom_site_label
_atom_site_type_symbol
_atom_site_fract_x
_atom_site_fract_y
_atom_site_fract_z
Pr1 Pr 0.0000 0.0000 0.2006
Ho1 Ho 0.5000 0.5000 0.5000
Er1 Er 0.5000 0.5000 0.0000
Se1 Se 0.0000 0.0000 0.5000
Se2 Se 0.0000 0.5000 0.0000
Se3 Se 0.5000 0.5000 0.2550

No. 6
# Pr3Ho2ErSe6 (PBE-GGA, relaxed)
# Formation energy (no corrections), eV per atom: -1.789
# E_tot, eV/cell: -140.88
data_Pr3Ho2ErSe6
_symmetry_space_group_name_H-M 'C 1 2/m 1'
_symmetry_Int_Tables_number 12
_cell_length_a 7.0872
_cell_length_b 12.3284
_cell_length_c 7.3768
_cell_angle_alpha 90.00
_cell_angle_beta 108.79
_cell_angle_gamma 90.00
loop_
_symmetry_equiv_pos_as_xyz
'x,y,z'
'-x,-y,-z'
'-x,y,-z'
'x,-y,z'
'x+1/2,y+1/2,z'
'-x+1/2,-y+1/2,-z'
'-x+1/2,y+1/2,-z'
'x+1/2,-y+1/2,z'
loop_
_atom_site_label
_atom_site_type_symbol
_atom_site_fract_x
_atom_site_fract_y
_atom_site_fract_z
Pr1 Pr 0.0000 0.0000 0.0000
Pr2 Pr 0.0000 0.3325 0.0000
Ho1 Ho 0.0000 0.1667 0.5000
Er1 Er 0.0000 0.5000 0.5000
Se1 Se 0.2424 0.3339 0.7296
Se2 Se 0.2445 0.0000 0.7301

No. 7
# Pr4HoEr3Se8 (PBE-GGA, relaxed)
# Formation energy (no corrections), eV per atom: -1.781
# E_tot, eV/cell: -281.29
data_Pr4HoEr3Se8
_symmetry_space_group_name_H-M 'R -3 m'
_symmetry_Int_Tables_number 166
_symmetry_space_group_name_Hall '-R 3 2"'
_cell_length_a 8.1718
_cell_length_b 8.1718
_cell_length_c 21.0639
_cell_angle_alpha 90.00
_cell_angle_beta 90.00
_cell_angle_gamma 120.00
loop_
_atom_site_label
_atom_site_type_symbol
_atom_site_fract_x
_atom_site_fract_y
_atom_site_fract_z
Pr1 Pr 0.0000 0.0000 0.0000
Pr2 Pr 0.0000 0.5000 0.0000
Ho1 Ho 0.0000 0.0000 0.5000
Er1 Er 0.0000 0.5000 0.5000
Se1 Se 0.0000 0.0000 0.2426
Se2 Se 0.0009 0.5005 0.7572

No. 8
# Pr4Ho3ErSe8 (PBE-GGA, relaxed)
# Formation energy (no corrections), eV per atom: -1.787
# E_tot, eV/cell: -281.64
data_Pr4Ho3ErSe8
_symmetry_space_group_name_H-M 'R -3 m'
_symmetry_Int_Tables_number 166
_symmetry_space_group_name_Hall '-R 3 2"'
_cell_length_a 8.1902
_cell_length_b 8.1902
_cell_length_c 21.0367
_cell_angle_alpha 90.00
_cell_angle_beta 90.00
_cell_angle_gamma 120.00
loop_
_atom_site_label
_atom_site_type_symbol
_atom_site_fract_x
_atom_site_fract_y
_atom_site_fract_z
Pr1 Pr 0.0000 0.0000 0.0000
Pr2 Pr 0.0000 0.5000 0.0000
Ho1 Ho 0.0000 0.5000 0.5000
Er1 Er 0.0000 0.0000 0.5000
Se1 Se 0.0000 0.0000 0.2432
Se2 Se 0.0009 0.5005 0.2430

No. 9
# Pr2HoErSe4 (PBE-GGA, relaxed)
# Formation energy (no corrections), eV per atom: -1.786
# E_tot, eV/cell: -46.93
data_Pr2HoErSe4
_symmetry_space_group_name_H-M 'P 1 2/m 1'
_symmetry_Int_Tables_number 10
_cell_length_a 7.0909
_cell_length_b 4.0715
_cell_length_c 7.4196
_cell_angle_alpha 90.00
_cell_angle_beta 108.41
_cell_angle_gamma 90.00
loop_
_symmetry_equiv_pos_as_xyz
'x,y,z'
'-x,-y,-z'
'-x,y,-z'
'x,-y,z'
loop_
_atom_site_label
_atom_site_type_symbol
_atom_site_fract_x
_atom_site_fract_y
_atom_site_fract_z
Pr1 Pr 0.0000 0.0000 0.0000
Pr2 Pr 0.5000 0.5000 0.0000
Ho1 Ho 0.0000 0.5000 0.5000
Er1 Er 0.5000 0.0000 0.5000
Se1 Se 0.2438 0.0000 0.7296
Se2 Se 0.2582 0.5000 0.2710

No. 10
# Pr3HoEr3Se8 (PBE-GGA, relaxed)
# Formation energy (no corrections), eV per atom: -1.839
# E_tot, eV/cell: -264.22
data_Pr3HoEr3Se8
_symmetry_space_group_name_H-M 'R -3 m'
_symmetry_Int_Tables_number 166
_symmetry_space_group_name_Hall '-R 3 2"'
_cell_length_a 8.2092
_cell_length_b 8.2092
_cell_length_c 20.5570
_cell_angle_alpha 90.00
_cell_angle_beta 90.00
_cell_angle_gamma 120.00
loop_
_atom_site_label
_atom_site_type_symbol
_atom_site_fract_x
_atom_site_fract_y
_atom_site_fract_z
Pr1 Pr 0.0000 0.5000 0.0000
Ho1 Ho 0.0000 0.0000 0.5000
Er1 Er 0.0000 0.5000 0.5000
Se1 Se 0.0000 0.0000 0.2435
Se2 Se 0.0072 0.5036 0.7548

No. 11
# Pr2SmHo2Er (PBE-GGA, relaxed)
# E_tot, eV/cell: -55.22
data_Pr2SmHo2Er
_symmetry_space_group_name_H-M 'P m c 21'
_symmetry_Int_Tables_number 26
_cell_length_a 5.6872
_cell_length_b 9.8468
_cell_length_c 7.0624
_cell_angle_alpha 90.00
_cell_angle_beta 90.00
_cell_angle_gamma 90.00
loop_
_symmetry_equiv_pos_as_xyz
'x,y,z'
'-x,-y,z+1/2'
'-x,y,z'
'x,-y,z+1/2'
loop_
_atom_site_label
_atom_site_type_symbol
_atom_site_fract_x
_atom_site_fract_y
_atom_site_fract_z
Pr1 Pr 0.0000 0.0003 0.0000
Pr2 Pr 0.5000 0.1788 0.2502
Sm1 Sm 0.0000 0.3425 0.7494
Ho1 Ho 0.0000 0.3320 0.2496
Ho2 Ho 0.5000 0.1638 0.7501
Er1 Er 0.5000 0.4998 0.9995

No. 12
# Pr4Sm2HoEr2 (PBE-GGA, relaxed)
# E_tot, eV/cell: -84.09
data_Pr4Sm2HoEr2
_symmetry_space_group_name_H-M 'C 1 2/m 1'
_symmetry_Int_Tables_number 12
_cell_length_a 15.4390
_cell_length_b 5.1433
_cell_length_c 8.0832
_cell_angle_alpha 90.00
_cell_angle_beta 108.59
_cell_angle_gamma 90.00
loop_
_symmetry_equiv_pos_as_xyz
'x,y,z'
'-x,-y,-z'
'-x,y,-z'
'x,-y,z'
'x+1/2,y+1/2,z'
'-x+1/2,-y+1/2,-z'
'-x+1/2,y+1/2,-z'
'x+1/2,-y+1/2,z'
loop_
_atom_site_label
_atom_site_type_symbol
_atom_site_fract_x
_atom_site_fract_y
_atom_site_fract_z
Pr1 Pr 0.0542 0.0000 0.3297
Pr2 Pr 0.2223 0.5000 0.3298
Sm1 Sm 0.1116 0.5000 0.6707
Ho1 Ho 0.0000 0.5000 0.0000
Er1 Er 0.1671 0.0000 0.9997

No. 13
# PrSm5Ho2Er (PBE-GGA, relaxed)
# E_tot, eV/cell: -163.03
data_PrSm5Ho2Er
_symmetry_space_group_name_H-M 'C m c 21'
_symmetry_Int_Tables_number 36
_cell_length_a 5.6364
_cell_length_b 20.2159
_cell_length_c 10.7346
_cell_angle_alpha 90.00
_cell_angle_beta 90.00
_cell_angle_gamma 90.00
loop_
_symmetry_equiv_pos_as_xyz
'x,y,z'
'-x,-y,z+1/2'
'-x,y,z'
'x,-y,z+1/2'
'x+1/2,y+1/2,z'
'-x+1/2,-y+1/2,z+1/2'
'-x+1/2,y+1/2,z'
'x+1/2,-y+1/2,z+1/2'
loop_
_atom_site_label
_atom_site_type_symbol
_atom_site_fract_x
_atom_site_fract_y
_atom_site_fract_z
Pr1 Pr 0.0000 0.2027 0.0000
Sm1 Sm 0.0000 0.0170 0.0152
Sm2 Sm 0.0000 0.2821 0.2970
Sm3 Sm 0.0000 0.2981 0.6955
Sm4 Sm 0.0000 0.3936 0.0162
Sm5 Sm 0.0000 0.4791 0.7322
Ho1 Ho 0.0000 0.1091 0.7290
Ho2 Ho 0.0000 0.1159 0.3095
Er1 Er 0.0000 0.4116 0.4486

No. 14
# PrSmHo2Er2 (PBE-GGA, relaxed)
# E_tot, eV/cell: -52.18
data_PrSmHo2Er2
_symmetry_space_group_name_H-M 'P n n m'
_symmetry_Int_Tables_number 58
_cell_length_a 6.5658
_cell_length_b 17.8047
_cell_length_c 3.3970
_cell_angle_alpha 90.00
_cell_angle_beta 90.00
_cell_angle_gamma 90.00
loop_
_symmetry_equiv_pos_as_xyz
'x,y,z'
'-x,-y,-z'
'-x,-y,z'
'x,y,-z'
'x+1/2,-y+1/2,-z+1/2'
'-x+1/2,y+1/2,z+1/2'
'-x+1/2,y+1/2,-z+1/2'
'x+1/2,-y+1/2,z+1/2'
loop_
_atom_site_label
_atom_site_type_symbol
_atom_site_fract_x
_atom_site_fract_y
_atom_site_fract_z
Pr1 Pr 0.0000 0.0000 0.0000
Sm1 Sm 0.0000 0.5000 0.0000
Ho1 Ho 0.2244 0.1857 0.0000
Er1 Er 0.2223 0.3502 0.5000

No. 15
# Pr2Sm2HoEr (PBE-GGA, relaxed)
# E_tot, eV/cell: -55.54
data_Pr2Sm2HoEr
_symmetry_space_group_name_H-M 'P m m a'
_symmetry_Int_Tables_number 51
_cell_length_a 7.0845
_cell_length_b 5.7072
_cell_length_c 9.8954
_cell_angle_alpha 90.00
_cell_angle_beta 90.00
_cell_angle_gamma 90.00
loop_
_symmetry_equiv_pos_as_xyz
'x,y,z'
'-x,-y,-z'
'-x+1/2,-y,z'
'x+1/2,y,-z'
'x+1/2,-y,-z'
'-x+1/2,y,z'
'-x,y,-z'
'x,-y,z'
loop_
_atom_site_label
_atom_site_type_symbol
_atom_site_fract_x
_atom_site_fract_y
_atom_site_fract_z
Pr1 Pr 0.0000 0.0000 0.0000
Pr2 Pr 0.2500 0.5000 0.1776
Sm1 Sm 0.2500 0.0000 0.3327
Sm2 Sm 0.2500 0.5000 0.8358
Ho1 Ho 0.2500 0.0000 0.6587
Er1 Er 0.0000 0.5000 0.5000

No. 16
# Pr4Sm2Ho2Er (PBE-GGA, relaxed)
# E_tot, eV/cell: -84.13
data_Pr4Sm2Ho2Er
_symmetry_space_group_name_H-M 'C 1 2/m 1'
_symmetry_Int_Tables_number 12
_cell_length_a 15.4474
_cell_length_b 5.1472
_cell_length_c 8.0904
_cell_angle_alpha 90.00
_cell_angle_beta 108.60
_cell_angle_gamma 90.00
loop_
_symmetry_equiv_pos_as_xyz
'x,y,z'
'-x,-y,-z'
'-x,y,-z'
'x,-y,z'
'x+1/2,y+1/2,z'
'-x+1/2,-y+1/2,-z'
'-x+1/2,y+1/2,-z'
'x+1/2,-y+1/2,z'
loop_
_atom_site_label
_atom_site_type_symbol
_atom_site_fract_x
_atom_site_fract_y
_atom_site_fract_z
Pr1 Pr 0.0543 0.0000 0.3301
Pr2 Pr 0.2222 0.5000 0.3301
Sm1 Sm 0.1116 0.5000 0.6708
Ho1 Ho 0.1669 0.0000 0.9998
Er1 Er 0.0000 0.5000 0.0000

No. 17
# PrSm2Ho2Er2 (PBE-GGA, relaxed)
# E_tot, eV/cell: -62.95
data_PrSm2Ho2Er2
_symmetry_space_group_name_H-M 'C 1 2/m 1'
_symmetry_Int_Tables_number 12
_cell_length_a 17.6703
_cell_length_b 3.4990
_cell_length_c 8.4717
_cell_angle_alpha 90.00
_cell_angle_beta 117.12
_cell_angle_gamma 90.00
loop_
_symmetry_equiv_pos_as_xyz
'x,y,z'
'-x,-y,-z'
'-x,y,-z'
'x,-y,z'
'x+1/2,y+1/2,z'
'-x+1/2,-y+1/2,-z'
'-x+1/2,y+1/2,-z'
'x+1/2,-y+1/2,z'
loop_
_atom_site_label
_atom_site_type_symbol
_atom_site_fract_x
_atom_site_fract_y
_atom_site_fract_z
Pr1 Pr 0.0000 0.0000 0.0000
Sm1 Sm 0.0719 0.5000 0.4113
Ho1 Ho 0.2126 0.0000 0.2969
Er1 Er 0.1504 0.5000 0.8928

No. 18
# Pr3SmHo2Er6 (PBE-GGA, relaxed)
# E_tot, eV/cell: -110.68
data_Pr3SmHo2Er6
_symmetry_space_group_name_H-M 'C 1 2/m 1'
_symmetry_Int_Tables_number 12
_cell_length_a 6.1967
_cell_length_b 10.7324
_cell_length_c 11.7622
_cell_angle_alpha 90.00
_cell_angle_beta 100.06
_cell_angle_gamma 90.00
loop_
_symmetry_equiv_pos_as_xyz
'x,y,z'
'-x,-y,-z'
'-x,y,-z'
'x,-y,z'
'x+1/2,y+1/2,z'
'-x+1/2,-y+1/2,-z'
'-x+1/2,y+1/2,-z'
'x+1/2,-y+1/2,z'
loop_
_atom_site_label
_atom_site_type_symbol
_atom_site_fract_x
_atom_site_fract_y
_atom_site_fract_z
Pr1 Pr 0.0000 0.0000 0.0000
Pr2 Pr 0.0000 0.3332 0.0000
Sm1 Sm 0.0000 0.5000 0.5000
Ho1 Ho 0.0000 0.1668 0.5000
Er1 Er 0.2485 0.0000 0.7461
Er2 Er 0.2490 0.3332 0.7461

No. 19
# Pr2Sm3Ho6Er (PBE-GGA, relaxed)
# E_tot, eV/cell: -111.12
data_Pr2Sm3Ho6Er
_symmetry_space_group_name_H-M 'C 1 2/m 1'
_symmetry_Int_Tables_number 12
_cell_length_a 6.2080
_cell_length_b 10.7481
_cell_length_c 11.8140
_cell_angle_alpha 90.00
_cell_angle_beta 100.05
_cell_angle_gamma 90.00
loop_
_symmetry_equiv_pos_as_xyz
'x,y,z'
'-x,-y,-z'
'-x,y,-z'
'x,-y,z'
'x+1/2,y+1/2,z'
'-x+1/2,-y+1/2,-z'
'-x+1/2,y+1/2,-z'
'x+1/2,-y+1/2,z'
loop_
_atom_site_label
_atom_site_type_symbol
_atom_site_fract_x
_atom_site_fract_y
_atom_site_fract_z
Pr1 Pr 0.0000 0.1664 0.0000
Sm1 Sm 0.0000 0.0000 0.5000
Sm2 Sm 0.0000 0.3332 0.5000
Ho1 Ho 0.2486 0.5000 0.7490
Ho2 Ho 0.2501 0.1663 0.7495
Er1 Er 0.0000 0.5000 0.0000

No. 20
# Pr6Sm2HoEr (PBE-GGA, relaxed)
# E_tot, eV/cell: -184.46
data_Pr6Sm2HoEr
_symmetry_space_group_name_H-M 'C 1 2/c 1'
_symmetry_Int_Tables_number 15
_cell_length_a 9.3017
_cell_length_b 15.4989
_cell_length_c 9.7846
_cell_angle_alpha 90.00
_cell_angle_beta 97.99
_cell_angle_gamma 90.00
loop_
_symmetry_equiv_pos_as_xyz
'x,y,z'
'-x,-y,-z'
'-x,y,-z+1/2'
'x,-y,z+1/2'
'x+1/2,y+1/2,z'
'-x+1/2,-y+1/2,-z'
'-x+1/2,y+1/2,-z+1/2'
'x+1/2,-y+1/2,z+1/2'
loop_
_atom_site_label
_atom_site_type_symbol
_atom_site_fract_x
_atom_site_fract_y
_atom_site_fract_z
Pr1 Pr 0.0601 0.1793 0.4463
Pr2 Pr 0.1015 0.3934 0.6175
Pr3 Pr 0.2107 0.2207 0.8095
Sm1 Sm 0.2472 0.0491 0.0444
Ho1 Ho 0.0000 0.0244 0.7500
Er1 Er 0.0000 0.4108 0.2500